Compound: Mn2AgCl
Source: the Alexandria database
Functional: PBE-GGA
Structure: relaxed

extended XYZ file:
```
4
Lattice="-3.482 -1.992 2.914 2.210 -3.591 2.608 1.299 4.742 -0.636" Properties=species:S:1:pos:R:3 pbc="T T T"
Mn -0.636 -2.791 2.761
Mn 0.000 0.000 0.000
Cl -1.409 -0.020 2.520
Ag 1.436 -0.820 2.366
```

Properties
- polymorph energy (0 for the lowest one) (meV/atom) = 360
- formation energy without anion corrections (meV per atom) = 468
- symmetry = I4/mmm (139)